[1]
# Cs3CaMg

A PBEsol-optimized structure of Cs3CaMg (SCAN, Alexandria via LeMat-Bulk).

Lattice parameters (Å, degrees): 7.392 7.392 7.392 90.00 90.00 90.00
Sites, in units of the cell vectors:
1 Cs 0.000 0.500 0.000
2 Cs 0.000 0.000 0.500
3 Cs 0.500 0.000 0.000
4 Ca 0.500 0.500 0.500
5 Mg 0.000 0.000 0.000

SG: Pm-3m (221)
Formation enthalpy at 0 K in eV per atom: 0.412

[2]
# Mo2WSe

A PBEsol-optimized structure of Mo2WSe (SCAN, Alexandria via LeMat-Bulk).

Lattice parameters (Å, degrees): 3.090 4.375 5.207 114.84 107.26 90.00
Sites, in units of the cell vectors:
1 Mo 0.762 0.762 0.524
2 Mo 0.238 0.238 0.476
3 Se 0.500 0.000 0.000
4 W 0.000 0.500 0.000

SG: Immm (71)
E_form (uncorrected) in kJ/mol of formula units: 163

[3]
# Zr5Co

A PBEsol-optimized structure of Zr5Co (SCAN, Alexandria via LeMat-Bulk).

Lattice parameters (Å, degrees): 3.171 5.532 7.517 107.08 90.00 106.66
Sites, in units of the cell vectors:
1 Co 0.982 0.964 0.985
2 Zr 0.418 0.836 0.209
3 Zr 0.714 0.427 0.364
4 Zr 0.041 0.082 0.587
5 Zr 0.344 0.687 0.735
6 Zr 0.668 0.337 0.953

SG: Cm (8)
ΔE to the lowest computed polymorph in meV per atom: 0
Formation enthalpy at 0 K in eV per atom: -0.045

[4]
# CsK3Mo

A PBEsol-optimized structure of CsK3Mo (SCAN, Alexandria via LeMat-Bulk).

Lattice parameters (Å, degrees): 7.006 7.006 7.006 90.00 90.00 90.00
Each line ends with the local moment (μB).
Sites, in units of the cell vectors:
1 Cs 0.500 0.500 0.500  0.00
2 Mo 0.000 0.000 0.000  4.30
3 K 0.000 0.500 0.000  0.02
4 K 0.000 0.000 0.500  0.02
5 K 0.500 0.000 0.000  0.02

SG: Pm-3m (221)
Formation enthalpy at 0 K in eV per atom: 0.873

[5]
# Sc2TiAgSe

A PBEsol-optimized structure of Sc2TiAgSe (SCAN, Alexandria via LeMat-Bulk).

Lattice parameters (Å, degrees): 4.896 5.105 5.105 90.00 90.00 90.00
Each line ends with the local moment (μB).
Sites, in units of the cell vectors:
1 Sc 0.000 0.000 0.500  0.52
2 Sc 0.000 0.500 0.000  0.52
3 Se 0.500 0.000 0.000  -0.04
4 Ag 0.000 0.000 0.000  0.09
5 Ti 0.500 0.500 0.500  2.03

SG: P4/mmm (123)
E_form (uncorrected) in kJ/mol of formula units: 272

[6]
# ScSi2Os

A PBEsol-optimized structure of ScSi2Os (SCAN, Alexandria via LeMat-Bulk).

Lattice parameters (Å, degrees): 4.355 4.355 4.355 60.00 60.00 60.00
Sites, in units of the cell vectors:
1 Os 0.500 0.500 0.500
2 Sc 0.750 0.750 0.750
3 Si 0.000 0.000 0.000
4 Si 0.250 0.250 0.250

SG: F-43m (216)
E_form (uncorrected) in kJ/mol of formula units: -31

[7]
# NdTe2BrO5

A PBEsol-optimized structure of NdTe2BrO5 (SCAN, Alexandria via LeMat-Bulk).

Lattice parameters (Å, degrees): 5.376 5.376 9.991 105.61 105.61 90.00
Sites, in units of the cell vectors:
1 Nd 0.250 0.750 0.500
2 Nd 0.750 0.250 0.500
3 Te 0.126 0.126 0.252
4 Te 0.604 0.604 0.207
5 Te 0.874 0.874 0.748
6 Te 0.396 0.396 0.793
7 Br 0.500 0.000 0.000
8 Br 0.000 0.500 0.000
9 O 0.423 0.890 0.314
10 O 0.890 0.890 0.314
11 O 0.110 0.110 0.686
12 O 0.231 0.231 0.462
13 O 0.423 0.423 0.314
14 O 0.769 0.769 0.538
15 O 0.577 0.110 0.686
16 O 0.577 0.577 0.686
17 O 0.110 0.577 0.686
18 O 0.890 0.423 0.314

SG: I4/mmm (139)
E_form (uncorrected) in kJ/mol of formula units: -1615

[8]
# SbIrI2N

A PBEsol-optimized structure of SbIrI2N (SCAN, Alexandria via LeMat-Bulk).

Lattice parameters (Å, degrees): 4.903 5.577 5.577 90.00 90.00 90.00
Each line ends with the local moment (μB).
Sites, in units of the cell vectors:
1 I 0.000 0.000 0.500  0.04
2 I 0.000 0.500 0.000  0.04
3 Sb 0.500 0.000 0.000  -0.01
4 Ir 0.000 0.000 0.000  0.00
5 N 0.500 0.500 0.500  1.90

SG: P4/mmm (123)
E_form (uncorrected) in kJ/mol of formula units: 583

Number 1: density of states at the Fermi level 4.60 states/eV/cell. Number 2: density of states at the Fermi level 3.51 states/eV/cell. Number 3: density of states at the Fermi level 6.25 states/eV/cell. Number 4: density of states at the Fermi level 3.18 states/eV/cell. Number 5: density of states at the Fermi level 4.47 states/eV/cell. Number 6: density of states at the Fermi level 3.42 states/eV/cell. Number 7: density of states at the Fermi level 0.00 states/eV/cell. Number 8: density of states at the Fermi level 2.64 states/eV/cell.